Here is an optimized crystal structure of KZnIr2 from Alexandria. Energies are from GGA-PBEsol.

The value obtained for the total energy is -4.76 eV/atom. The calculation puts the volume at 16.70 Å³/atom. The calculation puts the formation energy at 834 meV/atom.

It has space group Cmmm (No. 65), with a = 5.676 Å, b = 9.196 Å, c = 2.560 Å, α = 90.00°, β = 90.00° and γ = 90.00°. The asymmetric unit holds K at (0.000, 0.000, 0.000), Zn at (0.000, 0.500, 0.000) and Ir at (0.250, 0.250, 0.500).

***

Here is an optimized crystal structure of KZrIr from Alexandria. Energies are from GGA-PBEsol.

The value obtained for the total energy is -5.85 eV/atom. The calculation puts the volume at 22.34 Å³/atom. The calculation puts the formation energy at 832 meV/atom.

It has space group F-43m (No. 216), with a = 6.448 Å, b = 6.448 Å, c = 6.448 Å, α = 90.00°, β = 90.00° and γ = 90.00°. The asymmetric unit holds K at (0.000, 0.000, 0.000), Zr at (0.250, 0.250, 0.750) and Ir at (0.000, 0.000, 0.500).

***

Here is an optimized crystal structure of KZrIr2 from Alexandria. Energies are from GGA-PBEsol.

The value obtained for the total energy is -7.05 eV/atom. The calculation puts the volume at 18.12 Å³/atom. The calculation puts the formation energy at 413 meV/atom. The value obtained for the offset from the most stable computed form is 0.135 eV per atom.

It has space group Fm-3m (No. 225), with a = 6.618 Å, b = 6.618 Å, c = 6.618 Å, α = 90.00°, β = 90.00° and γ = 90.00°. The asymmetric unit holds K at (0.000, 0.000, 0.000), Zr at (0.000, 0.000, 0.500) and Ir at (0.250, 0.250, 0.250).

***

Here is an optimized crystal structure of KZrIr2 from Alexandria. Energies are from GGA-PBEsol.

The value obtained for the total energy is -6.84 eV/atom. The calculation puts the volume at 17.53 Å³/atom. The calculation puts the formation energy at 631 meV/atom. The value obtained for the offset from the most stable computed form is 0.353 eV per atom.

It has space group F-43m (No. 216), with a = 6.545 Å, b = 6.545 Å, c = 6.545 Å, α = 90.00°, β = 90.00° and γ = 90.00°. The asymmetric unit holds K at (0.000, 0.000, 0.000), Zr at (0.250, 0.250, 0.250), Ir at (0.000, 0.000, 0.500) and Ir at (0.250, 0.250, 0.750).

***

Here is an optimized crystal structure of KZrIr2 from Alexandria. Energies are from GGA-PBEsol.

The value obtained for the total energy is -7.17 eV/atom. The calculation puts the volume at 23.59 Å³/atom. The calculation puts the formation energy at 300 meV/atom. The value obtained for the offset from the most stable computed form is 0.022 eV per atom.

It has space group Pmm2 (No. 25), with a = 2.812 Å, b = 3.948 Å, c = 8.502 Å, α = 90.00°, β = 90.00° and γ = 90.00°. The asymmetric unit holds K at (0.000, 0.000, 0.000), Zr at (0.500, 0.500, 0.404), Ir at (0.000, 0.000, 0.601) and Ir at (0.500, 0.500, 0.705).

***

Here is an optimized crystal structure of KZrIr2 from Alexandria. Energies are from GGA-PBEsol.

The value obtained for the total energy is -7.19 eV/atom. The calculation puts the volume at 23.61 Å³/atom. The calculation puts the formation energy at 278 meV/atom. The value obtained for the offset from the most stable computed form is 0.000 eV per atom.

It has space group C2/m (No. 12), with a = 8.428 Å, b = 3.012 Å, c = 7.501 Å, α = 90.00°, β = 97.30° and γ = 90.00°. The asymmetric unit holds K at (0.000, 0.000, 0.000), Zr at (0.000, 0.500, 0.500) and Ir at (0.231, 0.000, 0.653).

***

Here is an optimized crystal structure of La2Ir7 from Alexandria. Energies are from GGA-PBEsol.

The value obtained for the total energy is -9.24 eV/atom. The calculation puts the volume at 17.88 Å³/atom. The calculation puts the formation energy at -413 meV/atom.

It has space group R-3m (No. 166, hexagonal axes), with a = 5.3305 Å, b = 5.3305 Å, c = 39.2478 Å, α = 90.00°, β = 90.00° and γ = 120.00°. The asymmetric unit holds La at (0.0000, 0.0000, 0.0507), La at (0.0000, 0.0000, 0.1479), Ir at (0.0000, 0.0000, 0.2780), Ir at (0.0000, 0.0000, 0.3882), Ir at (0.0000, 0.0000, 0.5000), Ir at (0.0000, 0.5000, 0.0000) and Ir at (0.0016, 0.5008, 0.1089).

***

Here is an optimized crystal structure of La3Ir2 from Alexandria. Energies are from GGA-PBEsol.

The value obtained for the total energy is -7.67 eV/atom. The calculation puts the volume at 29.60 Å³/atom. The calculation puts the formation energy at -532 meV/atom. The value obtained for the offset from the most stable computed form is 0.091 eV per atom.

It has space group R-3m (No. 166, hexagonal axes), with a = 4.1703 Å, b = 4.1703 Å, c = 29.4833 Å, α = 90.00°, β = 90.00° and γ = 120.00°. The asymmetric unit holds La at (0.0000, 0.0000, 0.0000), La at (0.0000, 0.0000, 0.2275) and Ir at (0.0000, 0.0000, 0.3918).